(1)
A relaxed FeReHgSb crystal. Source: the Open Quantum Materials Database, functional PBE.

a = 4.599 Å, b = 4.599 Å, c = 4.599 Å
α = 60.00°, β = 60.00°, γ = 60.00°
Positions (direct):
Fe  0.750  0.750  0.750
Hg  0.500  0.500  0.500
Re  0.250  0.250  0.250
Sb  0.000  0.000  0.000

SG = F-43m
E above lowest polymorph = 0.0 meV per atom


(2)
A relaxed FeReSnHg crystal. Source: the Open Quantum Materials Database, functional PBE.

a = 4.592 Å, b = 4.592 Å, c = 4.592 Å
α = 60.00°, β = 60.00°, γ = 60.00°
Positions (direct):
Fe  0.750  0.750  0.750
Re  0.250  0.250  0.250
Hg  0.500  0.500  0.500
Sn  0.000  0.000  0.000

SG = F-43m
E above lowest polymorph = 0.0 meV per atom


(3)
A relaxed FeTcHgSb crystal. Source: the Open Quantum Materials Database, functional PBE.

a = 4.581 Å, b = 4.581 Å, c = 4.581 Å
α = 60.00°, β = 60.00°, γ = 60.00°
Positions (direct):
Fe  0.750  0.750  0.750
Tc  0.250  0.250  0.250
Hg  0.500  0.500  0.500
Sb  0.000  0.000  0.000

SG = F-43m
E above lowest polymorph = 0.0 meV per atom